VASP calculation (GGA-PBE) on a relaxed Cr2FeHg crystal.

a = 6.2359 Å, b = 6.2359 Å, c = 6.2359 Å
α = 90.00°, β = 90.00°, γ = 90.00°
Space group F-43m (No. 216)
Inequivalent atoms, fractional coordinates:
1 Cr 0.0000 0.0000 0.0000
2 Cr 0.2500 0.2500 0.2500
3 Fe 0.0000 0.0000 0.5000
4 Hg 0.2500 0.2500 0.7500

E_form ... 0.54 eV/atom
Calculated total energy ... -6.46 eV/atom
ρ ... 9.9 g/cm3
Fermi-level density of states ... 19.0 states/eV per cell